(1)
Below is a geometry-optimized Pm2MgPb structure, with properties calculated at the PBE level.

The structure in POSCAR format:
```
Pm2MgPb
1.0
-1.031 1.758 4.029
2.572 -3.714 2.279
4.202 2.816 -0.154
Pb Mg Pm
1 1 2
Direct
0.500 0.500 0.500 Pb
0.500 0.000 0.000 Mg
0.000 0.000 0.500 Pm
0.000 0.500 0.000 Pm
```

The calculated formation energy comes out at -0.35 eV per atom. As for the calculated volume: 115.6 Å³ per cell. Its space group is P4/mmm (123). The value obtained for the density of states at the Fermi level is 0.64 states/eV per atom.



(2)
Below is a geometry-optimized In2ReSi structure, with properties calculated at the PBE level.

The structure in POSCAR format:
```
In2ReSi
1.0
10.341 0.040 0.024
9.905 2.973 0.024
9.905 1.474 2.582
In Re Si
2 1 1
Direct
0.993 0.993 0.993 In
0.507 0.507 0.507 In
0.250 0.250 0.250 Re
0.750 0.750 0.750 Si
```

As for the calculated volume: 77.7 Å³ per cell. Its space group is R-3m (166). As for the formation energy (no corrections): 688.0 meV per atom. The value obtained for the density of states at the Fermi level is 0.86 states/eV per atom.



(3)
Below is a geometry-optimized Be4Cu3Au2 structure, with properties calculated at the PBE level.

The structure in POSCAR format:
```
Be4Cu3Au2
1.0
-1.055 2.377 3.019
-1.971 -1.502 3.122
6.546 -1.458 3.436
Be Cu Au
4 3 2
Direct
0.667 0.666 0.895 Be
0.000 0.001 0.342 Be
0.000 0.999 0.658 Be
0.333 0.334 0.105 Be
0.333 0.334 0.427 Cu
0.000 0.000 0.000 Cu
0.667 0.666 0.573 Cu
0.334 0.333 0.784 Au
0.666 0.667 0.216 Au
```

The calculated formation energy comes out at -0.10 eV per atom. As for the calculated volume: 103.7 Å³ per cell. Its space group is P-3m1 (164). The value obtained for the density of states at the Fermi level is 0.23 states/eV per atom.



(4)
Below is a geometry-optimized HfMgPt2 structure, with properties calculated at the PBE level.

The structure in POSCAR format:
```
HfMgPt2
1.0
-3.239 -4.763 -1.695
5.456 0.280 2.490
1.494 4.295 3.921
Hf Mg Pt
1 1 2
Direct
0.000 0.500 0.500 Hf
0.000 0.000 0.000 Mg
0.000 0.257 0.257 Pt
0.000 0.743 0.743 Pt
```

The calculated formation energy comes out at 0.00 eV per atom. As for the calculated volume: 76.2 Å³ per cell. Its space group is Immm (71). The value obtained for the density of states at the Fermi level is 0.54 states/eV per atom.



(5)
Below is a geometry-optimized Li3Pr2Sn4 structure, with properties calculated at the PBE level.

The structure in POSCAR format:
```
Li3Pr2Sn4
1.0
-2.144 -5.303 2.802
5.092 -4.493 -4.608
6.865 3.339 4.331
Li Pr Sn
6 4 8
Direct
0.000 0.000 0.000 Li
0.500 0.500 0.000 Li
0.522 0.750 0.543 Li
0.978 0.250 0.457 Li
0.478 0.250 0.457 Li
0.022 0.750 0.543 Li
0.108 0.597 0.216 Pr
0.892 0.403 0.784 Pr
0.392 0.097 0.784 Pr
0.608 0.903 0.216 Pr
0.693 0.750 0.886 Sn
0.807 0.250 0.114 Sn
0.307 0.250 0.114 Sn
0.193 0.750 0.886 Sn
0.177 0.984 0.355 Sn
0.823 0.016 0.645 Sn
0.323 0.484 0.645 Sn
0.677 0.516 0.355 Sn
```

The calculated formation energy comes out at -0.54 eV per atom. As for the calculated volume: 427.5 Å³ per cell. Its space group is Cmce (64). The value obtained for the density of states at the Fermi level is 0.48 states/eV per atom.



(6)
Below is a geometry-optimized TaZnW structure, with properties calculated at the PBE level.

The structure in POSCAR format:
```
TaZnW
1.0
-3.871 0.597 -5.918
-4.616 -1.817 -4.894
-2.027 1.676 0.715
Ta W Zn
1 1 1
Direct
0.998 0.998 0.002 Ta
0.671 0.671 0.329 W
0.331 0.331 0.669 Zn
```

The calculated formation energy comes out at 0.10 eV per atom. As for the calculated volume: 48.7 Å³ per cell. Its space group is Fmm2 (42). For the energy above the most stable polymorph in this dataset, the calculation gives 0.0000 eV/atom. The value obtained for the density of states at the Fermi level is 0.65 states/eV per atom.



Which value of calculated volume does entry 4 give? 76.2 Å³ per cell



What is the formula in the fourth record? HfMgPt2